## Ag4TeSO4 (SCAN)

Data for Ag4TeSO4 at its PBEsol-relaxed geometry.

total moment	0.000	μB/f.u.
crystal system	cubic
SG	No. 198
E_tot	-820.877	eV per cell
mass density	6.755	g cm⁻³

Cell: 8.6364 8.6364 8.6364 Å, 90.00 90.00 90.00°
Closest atoms and distances in Å follow each position.
Sites, in units of the cell vectors:
Ag 0.5074 0.0074 0.4926  3 O 2.36
Ag 0.0074 0.4926 0.5074  3 O 2.36
Ag 0.4926 0.5074 0.0074  3 O 2.36
Ag 0.9926 0.9926 0.9926  3 O 2.36
Ag 0.2069 0.9710 0.5932  2 O 2.40-2.66
Ag 0.4068 0.7069 0.5290  2 O 2.40-2.66
Ag 0.4710 0.9068 0.7931  2 O 2.40-2.66
Ag 0.7069 0.5290 0.4068  2 O 2.40-2.66
Ag 0.9068 0.7931 0.4710  2 O 2.40-2.66
Ag 0.9710 0.5932 0.2069  2 O 2.40-2.66
Ag 0.7931 0.4710 0.9068  2 O 2.40-2.66
Ag 0.5932 0.2069 0.9710  2 O 2.40-2.66
Ag 0.5290 0.4068 0.7069  2 O 2.40-2.66
Ag 0.2931 0.0290 0.0932  2 O 2.40-2.66
Ag 0.0932 0.2931 0.0290  2 O 2.40-2.66
Ag 0.0290 0.0932 0.2931  2 O 2.40-2.66
Te 0.8160 0.3160 0.1840  6 Ag 2.75-2.82
Te 0.3160 0.1840 0.8160  6 Ag 2.75-2.82
Te 0.1840 0.8160 0.3160  6 Ag 2.75-2.82
Te 0.6840 0.6840 0.6840  6 Ag 2.75-2.82
S 0.1260 0.6260 0.8740  4 O 1.47-1.50
S 0.6260 0.8740 0.1260  4 O 1.47-1.50
S 0.8740 0.1260 0.6260  4 O 1.47-1.50
S 0.3740 0.3740 0.3740  4 O 1.47-1.50
O 0.0117 0.7215 0.9640  1 S 1.50
O 0.0360 0.5117 0.7785  1 S 1.50
O 0.2215 0.5360 0.9883  1 S 1.50
O 0.5117 0.7785 0.0360  1 S 1.50
O 0.5360 0.9883 0.2215  1 S 1.50
O 0.7215 0.9640 0.0117  1 S 1.50
O 0.9883 0.2215 0.5360  1 S 1.50
O 0.9640 0.0117 0.7215  1 S 1.50
O 0.7785 0.0360 0.5117  1 S 1.50
O 0.4883 0.2785 0.4640  1 S 1.50
O 0.4640 0.4883 0.2785  1 S 1.50
O 0.2785 0.4640 0.4883  1 S 1.50
O 0.2241 0.7241 0.7759  1 S 1.47
O 0.7241 0.7759 0.2241  1 S 1.47
O 0.7759 0.2241 0.7241  1 S 1.47
O 0.2759 0.2759 0.2759  1 S 1.47

---

## Rb4NpS2ClO10 (SCAN)

Data for Rb4NpS2ClO10 at its PBEsol-relaxed geometry.

total moment	2.000	μB/f.u.
crystal system	monoclinic
SG	No. 13
E_tot	-641.107	eV per cell
mass density	4.037	g cm⁻³

Cell: 4.5330 10.5301 14.8058 Å, 102.55 90.00 90.00°
Closest atoms and distances in Å follow each position.
Sites, in units of the cell vectors:
Rb 0.2298 0.0565 0.8928  5 O 2.81-3.08
Rb 0.7702 0.4377 0.8697  5 O 2.87-3.04
Rb 0.7702 0.9435 0.1072  5 O 2.81-3.08
Rb 0.7702 0.0623 0.6303  5 O 2.87-3.04
Rb 0.2298 0.4435 0.6072  5 O 2.81-3.08
Rb 0.7702 0.5565 0.3928  5 O 2.81-3.08
Rb 0.2298 0.9377 0.3697  5 O 2.87-3.04
Rb 0.2298 0.5623 0.1303  5 O 2.87-3.04
Np 0.2684 0.2500 0.2500  2 O 1.85
Np 0.7316 0.7500 0.7500  2 O 1.85
S 0.6527 0.2289 0.4257  4 O 1.47-1.52
S 0.3473 0.7711 0.5743  4 O 1.47-1.52
S 0.6527 0.2711 0.0743  4 O 1.47-1.52
S 0.3473 0.7289 0.9257  4 O 1.47-1.52
Cl 0.7332 0.7500 0.2500  6 Rb 3.24-3.28
Cl 0.2668 0.2500 0.7500  6 Rb 3.24-3.28
O 0.2692 0.4295 0.2847  1 Np 1.85
O 0.2561 0.6025 0.9429  1 S 1.47
O 0.7439 0.3975 0.0571  1 S 1.47
O 0.2610 0.6620 0.4991  1 S 1.47
O 0.7390 0.3380 0.5009  1 S 1.47
O 0.7439 0.1025 0.4429  1 S 1.47
O 0.6757 0.7696 0.5883  1 S 1.50
O 0.7713 0.2513 0.1663  1 S 1.52
O 0.2610 0.8380 0.0009  1 S 1.47
O 0.2287 0.7513 0.6663  1 S 1.52
O 0.2561 0.8975 0.5571  1 S 1.47
O 0.7713 0.2487 0.3337  1 S 1.52
O 0.3243 0.2696 0.0883  1 S 1.50
O 0.6757 0.7304 0.9117  1 S 1.50
O 0.2287 0.7487 0.8337  1 S 1.52
O 0.3243 0.2304 0.4117  1 S 1.50
O 0.7308 0.5705 0.7153  1 Np 1.85
O 0.7390 0.1620 0.9991  1 S 1.47
O 0.2692 0.0705 0.2153  1 Np 1.85
O 0.7308 0.9295 0.7847  1 Np 1.85

---

## Sc2InGa (SCAN)

Data for Sc2InGa at its PBEsol-relaxed geometry.

total moment	0.003	μB/f.u.
ΔH_f (0 K)	-57.7	kJ/mol of atoms
crystal system	cubic
SG	No. 225
E_tot	-80.599	eV per cell
mass density	5.739	g cm⁻³

Cell: 4.8246 4.8246 4.8246 Å, 60.00 60.00 60.00°
Closest atoms and distances in Å follow each position.
Sites, in units of the cell vectors:
Sc 0.2500 0.2500 0.2500  4 In 2.95, 4 Ga 2.95
Sc 0.7500 0.7500 0.7500  4 In 2.95, 4 Ga 2.95
Ga 0.0000 0.0000 0.0000  8 Sc 2.95
In 0.5000 0.5000 0.5000  8 Sc 2.95

---

## Li2ScGa2 (SCAN)

Data for Li2ScGa2 at its PBEsol-relaxed geometry.

total moment	0.000	μB/f.u.
ΔH_f (0 K)	-37.4	kJ/mol of atoms
crystal system	tetragonal
SG	No. 139
E_tot	-53.650	eV per cell
mass density	3.863	g cm⁻³

Cell: 3.6911 3.6911 6.7791 Å, 105.80 105.80 90.00°
Closest atoms and distances in Å follow each position.
Sites, in units of the cell vectors:
Sc 0.0000 0.0000 0.0000  8 Ga 2.90
Ga 0.3990 0.3990 0.7980  1 Ga 2.53, 4 Li 2.62
Ga 0.6010 0.6010 0.2020  1 Ga 2.53, 4 Li 2.62
Li 0.2500 0.7500 0.5000  4 Li 2.61, 4 Ga 2.62
Li 0.7500 0.2500 0.5000  4 Li 2.61, 4 Ga 2.62

---

## YCdCu2 (SCAN)

Data for YCdCu2 at its PBEsol-relaxed geometry.

total moment	0.000	μB/f.u.
ΔH_f (0 K)	-17.9	kJ/mol of atoms
crystal system	orthorhombic
SG	No. 38
E_tot	-89.396	eV per cell
mass density	7.413	g cm⁻³

Cell: 3.7615 3.9442 5.3034 Å, 90.00 110.77 90.00°
Closest atoms and distances in Å follow each position.
Sites, in units of the cell vectors:
Cd 0.3977 0.5000 0.7953  7 Cu 2.83-2.84
Cu 0.8189 0.0000 0.6377  2 Cu 2.38
Cu 0.6840 0.5000 0.3681  2 Cu 2.38
Y 0.0993 0.0000 0.1987  7 Cu 2.78-2.88

---

## Rb2TlTc (SCAN)

Data for Rb2TlTc at its PBEsol-relaxed geometry.

total moment	2.900	μB/f.u.
ΔH_f (0 K)	104.8	kJ/mol of atoms
crystal system	cubic
SG	No. 225
E_tot	-144.552	eV per cell
mass density	5.502	g cm⁻³

Cell: 5.8676 5.8676 5.8676 Å, 60.00 60.00 60.00°
Closest atoms and distances in Å follow each position.
Sites, in units of the cell vectors:
Tl 0.5000 0.5000 0.5000  8 Rb 3.59
Tc 0.0000 0.0000 0.0000  8 Rb 3.59
Rb 0.2500 0.2500 0.2500  4 Tl 3.59, 4 Tc 3.59
Rb 0.7500 0.7500 0.7500  4 Tl 3.59, 4 Tc 3.59

---

## Tl2FeAg (SCAN)

Data for Tl2FeAg at its PBEsol-relaxed geometry.

total moment	3.056	μB/f.u.
ΔH_f (0 K)	37.8	kJ/mol of atoms
crystal system	tetragonal
SG	No. 99
E_tot	-192.645	eV per cell
mass density	11.730	g cm⁻³

Cell: 3.1141 3.1141 8.3574 Å, 90.00 90.00 90.00°
Closest atoms and distances in Å follow each position.
Sites, in units of the cell vectors:
Ag 0.0000 0.0000 0.5454  4 Fe 2.67
Fe 0.5000 0.5000 0.7269  4 Ag 2.67, 4 Tl 2.86
Tl 0.0000 0.0000 0.9462  4 Fe 2.86, 4 Tl 3.11
Tl 0.5000 0.5000 0.2814  4 Tl 3.11, 4 Ag 3.12

---

## MgZnTc2 (SCAN)

Data for MgZnTc2 at its PBEsol-relaxed geometry.

energy above the most stable polymorph in this dataset	393	meV/atom
total moment	0.000	μB/f.u.
ΔH_f (0 K)	27.6	kJ/mol of atoms
crystal system	tetragonal
SG	No. 123
E_tot	-87.463	eV per cell
mass density	7.681	g cm⁻³

Cell: 3.2422 3.2422 5.8763 Å, 90.00 90.00 90.00°
Closest atoms and distances in Å follow each position.
Sites, in units of the cell vectors:
Mg 0.5000 0.5000 0.5000  8 Tc 2.91, 2 Zn 2.94, 4 Mg 3.24
Tc 0.0000 0.0000 0.8040  1 Tc 2.30, 4 Zn 2.57
Tc 0.0000 0.0000 0.1960  1 Tc 2.30, 4 Zn 2.57
Zn 0.5000 0.5000 0.0000  8 Tc 2.57

---

## Li2In (SCAN)

Data for Li2In at its PBEsol-relaxed geometry.

total moment	0.001	μB/f.u.
ΔH_f (0 K)	-37.4	kJ/mol of atoms
crystal system	orthorhombic
SG	No. 63
E_tot	-78.658	eV per cell
mass density	3.962	g cm⁻³

Cell: 4.6420 4.6704 5.4971 Å, 64.86 90.00 90.00°
Closest atoms and distances in Å follow each position.
Sites, in units of the cell vectors:
In 0.7500 0.0886 0.8229  6 Li 2.79-2.93, 2 In 2.91
In 0.2500 0.9114 0.1771  6 Li 2.79-2.93, 2 In 2.91
Li 0.7500 0.4112 0.1776  6 Li 2.80-2.92, 2 In 2.93
Li 0.2500 0.5888 0.8224  6 Li 2.80-2.92, 2 In 2.93
Li 0.2500 0.2440 0.5120  4 In 2.79-2.87, 4 Li 2.80-2.86
Li 0.7500 0.7560 0.4880  4 In 2.79-2.87, 4 Li 2.80-2.86

---

## Pb2BrOF (SCAN)

Data for Pb2BrOF at its PBEsol-relaxed geometry.

total moment	0.000	μB/f.u.
crystal system	orthorhombic
SG	No. 67
E_tot	-377.311	eV per cell
mass density	8.257	g cm⁻³

Cell: 5.7826 5.7943 6.9810 Å, 90.00 114.47 90.00°
Closest atoms and distances in Å follow each position.
Sites, in units of the cell vectors:
Pb 0.3987 0.2211 0.7975  2 O 2.32, 2 F 2.52
Pb 0.6013 0.7789 0.2025  2 O 2.32, 2 F 2.52
Pb 0.1013 0.2211 0.2025  2 O 2.32, 2 F 2.52
Pb 0.8987 0.7789 0.7975  2 O 2.32, 2 F 2.52
Br 0.7500 0.2312 0.5000  6 Pb 3.23-3.45
Br 0.2500 0.7688 0.5000  6 Pb 3.23-3.45
O 0.2500 0.0000 0.0000  4 Pb 2.32
O 0.7500 0.0000 0.0000  4 Pb 2.32
F 0.2500 0.5000 0.0000  4 Pb 2.52
F 0.7500 0.5000 0.0000  4 Pb 2.52

---

## Be3BiPb (SCAN)

Data for Be3BiPb at its PBEsol-relaxed geometry.

total moment	0.000	μB/f.u.
ΔH_f (0 K)	111.1	kJ/mol of atoms
crystal system	cubic
SG	No. 221
E_tot	-161.666	eV per cell
mass density	7.124	g cm⁻³

Cell: 4.6923 4.6923 4.6923 Å, 90.00 90.00 90.00°
Closest atoms and distances in Å follow each position.
Sites, in units of the cell vectors:
Pb 0.0000 0.0000 0.0000  6 Be 2.35
Be 0.0000 0.5000 0.0000  2 Pb 2.35
Be 0.0000 0.0000 0.5000  2 Pb 2.35
Be 0.5000 0.0000 0.0000  2 Pb 2.35
Bi 0.5000 0.5000 0.5000  12 Be 3.32

---

## Cd5Cu (SCAN)

Data for Cd5Cu at its PBEsol-relaxed geometry.

energy above the most stable polymorph in this dataset	7	meV/atom
total moment	0.000	μB/f.u.
ΔH_f (0 K)	5.6	kJ/mol of atoms
crystal system	tetragonal
SG	No. 123
E_tot	-166.923	eV per cell
mass density	9.127	g cm⁻³

Cell: 3.0958 3.0958 11.8762 Å, 90.00 90.00 90.00°
Closest atoms and distances in Å follow each position.
Sites, in units of the cell vectors:
Cd 0.0000 0.0000 0.8629  4 Cu 2.73
Cd 0.0000 0.0000 0.1371  4 Cu 2.73
Cd 0.5000 0.5000 0.6807  12 Cd 3.07-3.10
Cd 0.5000 0.5000 0.3193  12 Cd 3.07-3.10
Cd 0.0000 0.0000 0.5000  12 Cd 3.07-3.10
Cu 0.5000 0.5000 0.0000  8 Cd 2.73